LiSiMoW | PBE | relaxed

CIF file:
```
data_LiSiMoW
_chemical_formula_sum 'Li4 Si4 Mo4 W4'
_cell_length_a 6.100
_cell_length_b 6.100
_cell_length_c 6.100
_cell_angle_alpha 90.00
_cell_angle_beta 90.00
_cell_angle_gamma 90.00
_space_group_name_H-M_alt 'F -4 3 m'
_space_group_IT_number 216
_space_group_name_Hall 'F -4 2 3'
loop_
_atom_site_label
_atom_site_fract_x
_atom_site_fract_y
_atom_site_fract_z
Li1 0.000 0.000 0.000
Si1 0.250 0.250 0.750
Mo1 0.000 0.000 0.500
W1 0.250 0.250 0.250
```

Results
- formation energy from raw total energies (eV/atom) = 0.032
- total energy (eV for the cell shown) = -124.0